# 1
Compound: BaAc2SnO6
Source: the Alexandria database
Functional: PBE-GGA
Structure: optimized geometry

Lattice parameters (Å, degrees): 5.7971 5.7971 5.9014 90.00 90.00 90.00
Space group P4mm (No. 99)
Unique sites:
1 Ba 0.0000 0.0000 0.0000 x1
2 Ac 0.0000 0.5000 0.4559 x2
3 Sn 0.5000 0.5000 0.0782 x1
4 O 0.0000 0.0000 0.5719 x1
5 O 0.2699 0.2699 0.2192 x4
6 O 0.5000 0.5000 0.7373 x1

Output
Raw total energy   -6.93 eV/atom
ρ   6749 kg/m³
Total moment   0.002 μB/atom

# 2
Compound: Ag2SbPt2
Source: the Alexandria database
Functional: PBE-GGA
Structure: optimized geometry

Lattice parameters (Å, degrees): 3.7636 3.7636 13.8095 90.00 90.00 90.00
Space group I4/mmm (No. 139)
Unique sites:
1 Ag 0.0000 0.5000 0.2500 x4
2 Sb 0.0000 0.0000 0.0000 x2
3 Pt 0.0000 0.0000 0.4034 x4

Output
Offset from the most stable computed form   0.1384 eV/atom
ρ   12355 kg/m³
Total moment   0.000 μB/atom

# 3
Compound: Sm6HPt2
Source: the Alexandria database
Functional: PBE-GGA
Structure: optimized geometry

Lattice parameters (Å, degrees): 6.5792 7.1453 11.8828 90.00 123.06 90.00
Space group P2_1/c (No. 14)
Unique sites:
1 Sm 0.1086 0.0269 0.2514 x4
2 Sm 0.2323 0.6761 0.0613 x4
3 Sm 0.3870 0.1780 0.0617 x4
4 H 0.5000 0.0000 0.5000 x2
5 Pt 0.3193 0.1172 0.7537 x4

Output
Raw total energy   -5.52 eV/atom
ρ   9175 kg/m³
Total moment   0.000 μB/atom

# 4
Compound: CaLaBr2
Source: the Alexandria database
Functional: PBE-GGA
Structure: optimized geometry

Lattice parameters (Å, degrees): 3.7799 7.0655 9.7074 90.00 90.00 90.00
Space group Immm (No. 71)
Unique sites:
1 Ca 0.0000 0.0000 0.0000 x2
2 La 0.0000 0.0000 0.5000 x2
3 Br 0.0000 0.5000 0.2556 x4

Output
Offset from the most stable computed form   0.1356 eV/atom
ρ   4340 kg/m³
Total moment   0.001 μB/atom

# 5
Compound: RbAlAsO4
Source: the Alexandria database
Functional: PBE-GGA
Structure: optimized geometry

Lattice parameters (Å, degrees): 6.3330 5.8397 6.7336 90.00 99.65 90.00
Space group P2_1/m (No. 11)
Unique sites:
1 Rb 0.1173 0.2500 0.0878 x2
2 Al 0.4230 0.2500 0.6766 x2
3 As 0.2949 0.7500 0.5779 x2
4 O 0.2818 0.0019 0.7416 x4
5 O 0.2873 0.7500 0.2806 x2
6 O 0.4218 0.2500 0.4104 x2

Output
Raw total energy   -5.95 eV/atom
ρ   3400 kg/m³
Total moment   0.063 μB/atom

# 6
Compound: Sm10HoTm6
Source: the Alexandria database
Functional: PBE-GGA
Structure: optimized geometry

Lattice parameters (Å, degrees): 9.7150 9.7150 6.8277 90.00 90.00 120.00
Space group P-31m (No. 162)
Unique sites:
1 Sm 0.0000 0.2758 0.3166 x6
2 Sm 0.3333 0.6667 0.0000 x2
3 Sm 0.3333 0.6667 0.5000 x2
4 Ho 0.0000 0.0000 0.0000 x1
5 Tm 0.0000 0.3706 0.8106 x6

Output
Energy of formation   0.129 eV per atom
ρ   7981 kg/m³
Total moment   0.000 μB/atom